Compound: Rb3TeCl8
Source: Alexandria via LeMat-Bulk
Functional: PBE
Structure: optimized geometry

Volume, Å³/atom: 33.6
Uncorrected energy, eV/atom: -2.934
Formation energy (no corrections), eV per atom: -1.199

Cell lengths 9.167, 10.073, 10.073 Å; angles 120.00, 90.00, 90.00 degrees
Site moments in Bohr magnetons follow the coordinates.
Element x y z (fractional)
Rb 0.690 0.695 0.848  0.00
Rb 0.190 0.848 0.695  0.00
Rb 0.190 0.305 0.152  0.00
Rb 0.690 0.152 0.305  0.00
Rb 0.190 0.848 0.152  0.00
Rb 0.690 0.152 0.848  0.00
Cl 0.004 0.100 0.550  0.02
Cl 0.447 0.000 0.000  0.01
Cl 0.653 0.333 0.667  0.25
Cl 0.311 0.209 0.418  0.02
Cl 0.004 0.450 0.900  0.02
Cl 0.004 0.450 0.550  0.02
Cl 0.811 0.418 0.209  0.02
Cl 0.811 0.791 0.209  0.02
Cl 0.504 0.550 0.450  0.02
Cl 0.947 0.000 0.000  0.01
Cl 0.153 0.667 0.333  0.25
Cl 0.311 0.582 0.791  0.02
Cl 0.504 0.550 0.100  0.02
Cl 0.504 0.900 0.450  0.02
Cl 0.311 0.209 0.791  0.02
Cl 0.811 0.791 0.582  0.02
Te 0.158 0.333 0.667  0.01
Te 0.658 0.667 0.333  0.01

Compound: Hf3SnS
Source: Alexandria via LeMat-Bulk
Functional: PBE
Structure: optimized geometry

Volume, Å³/atom: 21.8
Energy above the lowest structure with this stoichiometry, meV/atom: 0
Uncorrected energy, eV/atom: -7.930
Formation energy (no corrections), eV per atom: -0.332

Cell lengths 4.773, 4.773, 4.773 Å; angles 90.00, 90.00, 90.00 degrees
Element x y z (fractional)
Hf 0.500 0.000 0.000
Hf 0.000 0.500 0.000
Hf 0.000 0.000 0.500
S 0.000 0.000 0.000
Sn 0.500 0.500 0.500

Compound: Sc2TaAu
Source: Alexandria via LeMat-Bulk
Functional: PBE
Structure: optimized geometry

Volume, Å³/atom: 19.7
Energy above the lowest structure with this stoichiometry, meV/atom: 214
Uncorrected energy, eV/atom: -7.033
Formation energy from the elements, kJ per mole of atoms: -8.14

Cell lengths 5.481, 5.481, 5.481 Å; angles 135.86, 135.86, 64.20 degrees
Element x y z (fractional)
Sc 0.250 0.750 0.500
Sc 0.000 0.000 0.000
Ta 0.500 0.500 0.000
Au 0.750 0.250 0.500

Compound: NdBeI
Source: Alexandria via LeMat-Bulk
Functional: PBE
Structure: optimized geometry

Volume, Å³/atom: 34.4
Uncorrected energy, eV/atom: -3.755
Formation energy (no corrections), eV per atom: -0.407

Cell lengths 4.341, 4.080, 11.869 Å; angles 90.00, 100.54, 90.00 degrees
Element x y z (fractional)
Nd 0.070 0.750 0.141
Nd 0.930 0.250 0.859
Be 0.488 0.750 0.976
Be 0.512 0.250 0.024
I 0.829 0.750 0.658
I 0.171 0.250 0.342

Compound: CrCdIr
Source: Alexandria via LeMat-Bulk
Functional: PBE
Structure: optimized geometry

Volume, Å³/atom: 15.6
Energy above the lowest structure with this stoichiometry, meV/atom: 0
Uncorrected energy, eV/atom: -6.351
Formation energy from the elements, kJ per mole of atoms: 11.13

Cell lengths 6.210, 6.210, 6.210 Å; angles 153.76, 153.76, 37.46 degrees
Element x y z (fractional)
Cd 0.997 0.997 0.000
Cr 0.315 0.315 0.000
Ir 0.688 0.688 0.000

Compound: DyMgSn2
Source: Alexandria via LeMat-Bulk
Functional: PBE
Structure: optimized geometry

Volume, Å³/atom: 25.8
Energy above the lowest structure with this stoichiometry, meV/atom: 175
Uncorrected energy, eV/atom: -3.863
Formation energy from the elements, kJ per mole of atoms: -30.12

Cell lengths 5.262, 5.262, 5.262 Å; angles 60.00, 60.00, 60.00 degrees
Element x y z (fractional)
Sn 0.250 0.250 0.250
Sn 0.750 0.750 0.750
Mg 0.500 0.500 0.500
Dy 0.000 0.000 0.000

Compound: Ta2NbGaSb
Source: Alexandria via LeMat-Bulk
Functional: PBE
Structure: optimized geometry

Volume, Å³/atom: 25.4
Uncorrected energy, eV/atom: -6.463
Formation energy (no corrections), eV per atom: 1.722

Cell lengths 5.027, 5.028, 5.027 Å; angles 90.00, 90.00, 90.00 degrees
Element x y z (fractional)
Ga 0.500 0.500 0.500
Sb 0.000 0.000 0.000
Ta 0.000 0.000 0.500
Ta 0.500 0.000 0.000
Nb 0.000 0.500 0.000

Compound: Ta4GeP
Source: Alexandria via LeMat-Bulk
Functional: PBE
Structure: optimized geometry

Volume, Å³/atom: 16.4
Uncorrected energy, eV/atom: -10.034
Formation energy from the elements, kJ per mole of atoms: -44.45

Cell lengths 5.217, 6.134, 6.134 Å; angles 90.00, 90.00, 90.00 degrees
Element x y z (fractional)
Ta 0.000 0.653 0.827
Ta 0.500 0.347 0.827
Ta 0.500 0.653 0.173
Ta 0.000 0.827 0.347
Ta 0.000 0.173 0.653
Ta 0.000 0.347 0.173
Ta 0.500 0.827 0.653
Ta 0.500 0.173 0.347
P 0.750 0.500 0.500
P 0.250 0.500 0.500
Ge 0.750 0.000 0.000
Ge 0.250 0.000 0.000

Compound: Na2HoEr3Te6
Source: Alexandria via LeMat-Bulk
Functional: PBE
Structure: optimized geometry

Volume, Å³/atom: 29.8
Uncorrected energy, eV/atom: -4.590
Formation energy (no corrections), eV per atom: -1.277

Cell lengths 7.550, 7.550, 7.666 Å; angles 99.43, 99.43, 119.94 degrees
Element x y z (fractional)
Te 0.414 0.085 0.254
Te 0.586 0.915 0.746
Te 0.915 0.586 0.746
Te 0.757 0.757 0.258
Te 0.243 0.243 0.742
Te 0.085 0.414 0.254
Na 0.334 0.666 0.000
Na 0.666 0.334 0.000
Er 0.831 0.169 0.500
Er 0.500 0.500 0.500
Er 0.169 0.831 0.500
Ho 0.000 0.000 0.000

Compound: GdLuThHg
Source: Alexandria via LeMat-Bulk
Functional: PBE
Structure: optimized geometry

Volume, Å³/atom: 28.6
Uncorrected energy, eV/atom: -6.595
Formation energy from the elements, kJ per mole of atoms: -1.35

Cell lengths 5.447, 5.447, 5.447 Å; angles 60.00, 60.00, 60.00 degrees
Site moments in Bohr magnetons follow the coordinates.
Element x y z (fractional)
Lu 0.750 0.750 0.750  -0.29
Gd 0.500 0.500 0.500  -7.28
Th 0.000 0.000 0.000  -0.24
Hg 0.250 0.250 0.250  0.00

Compound: Nd5Np2O12
Source: Alexandria via LeMat-Bulk
Functional: PBE
Structure: optimized geometry

Volume, Å³/atom: 16.2
Uncorrected energy, eV/atom: -8.970
Formation energy (no corrections), eV per atom: -3.221

Cell lengths 6.390, 7.241, 7.796 Å; angles 105.70, 90.00, 116.18 degrees
Site moments in Bohr magnetons follow the coordinates.
Element x y z (fractional)
Nd 0.701 0.403 0.366  0.00
Nd 0.000 0.000 0.500  0.00
Nd 0.693 0.387 0.822  0.00
Nd 0.307 0.613 0.178  0.00
Nd 0.299 0.597 0.634  0.00
Np 0.756 0.000 0.000  2.66
Np 0.244 0.000 0.000  2.66
O 0.099 0.663 0.913  -0.05
O 0.593 0.688 0.425  0.00
O 0.407 0.312 0.575  0.00
O 0.502 0.004 0.808  -0.06
O 0.436 0.337 0.087  -0.05
O 0.000 0.001 0.802  -0.06
O 0.564 0.663 0.913  -0.05
O 0.904 0.312 0.575  0.00
O 0.000 0.999 0.198  -0.06
O 0.901 0.337 0.087  -0.05
O 0.498 0.996 0.192  -0.06
O 0.096 0.688 0.425  0.00

Compound: LaPm2Th3S6
Source: Alexandria via LeMat-Bulk
Functional: PBE
Structure: optimized geometry

Volume, Å³/atom: 23.6
Uncorrected energy, eV/atom: -7.067
Formation energy (no corrections), eV per atom: -1.946

Cell lengths 6.980, 6.980, 7.077 Å; angles 99.43, 99.43, 119.67 degrees
Element x y z (fractional)
S 0.578 0.917 0.749
S 0.422 0.083 0.251
S 0.255 0.255 0.752
S 0.745 0.745 0.248
S 0.917 0.578 0.749
S 0.083 0.422 0.251
Pm 0.333 0.667 0.000
Pm 0.667 0.333 0.000
Th 0.835 0.165 0.500
Th 0.165 0.835 0.500
Th 0.500 0.500 0.500
La 0.000 0.000 0.000

Compound: PmMg2Sc
Source: Alexandria via LeMat-Bulk
Functional: PBE
Structure: optimized geometry

Volume, Å³/atom: 26.0
Energy above the lowest structure with this stoichiometry, meV/atom: 15
Uncorrected energy, eV/atom: -3.623
Formation energy from the elements, kJ per mole of atoms: -5.28

Cell lengths 3.673, 3.673, 7.719 Å; angles 90.00, 90.00, 90.00 degrees
Element x y z (fractional)
Pm 0.500 0.500 0.500
Mg 0.000 0.000 0.776
Mg 0.000 0.000 0.224
Sc 0.500 0.500 0.000

Compound: Th4CoSb2
Source: Alexandria via LeMat-Bulk
Functional: PBE
Structure: optimized geometry

Volume, Å³/atom: 30.8
Uncorrected energy, eV/atom: -6.837
Formation energy (no corrections), eV per atom: -0.404

Cell lengths 4.140, 7.094, 8.432 Å; angles 115.07, 104.21, 90.00 degrees
Element x y z (fractional)
Sb 0.744 0.746 0.489
Sb 0.256 0.254 0.511
Co 0.000 0.000 0.000
Th 0.104 0.782 0.208
Th 0.896 0.218 0.792
Th 0.605 0.260 0.210
Th 0.395 0.740 0.790

Compound: Na6Ga2Pt
Source: Alexandria via LeMat-Bulk
Functional: PBE
Structure: optimized geometry

Volume, Å³/atom: 26.0
Uncorrected energy, eV/atom: -2.343
Formation energy from the elements, kJ per mole of atoms: -11.57

Cell lengths 5.284, 5.284, 10.133 Å; angles 74.88, 74.88, 60.00 degrees
Element x y z (fractional)
Na 0.191 0.191 0.427
Na 0.809 0.809 0.573
Na 0.420 0.420 0.741
Na 0.308 0.308 0.076
Na 0.580 0.580 0.259
Na 0.692 0.692 0.924
Ga 0.916 0.916 0.251
Ga 0.084 0.084 0.749
Pt 0.000 0.000 0.000

Compound: CuNi2Ir
Source: Alexandria via LeMat-Bulk
Functional: PBE
Structure: optimized geometry

Volume, Å³/atom: 12.2
Uncorrected energy, eV/atom: -6.086
Formation energy from the elements, kJ per mole of atoms: 4.27

Cell lengths 4.207, 2.611, 4.438 Å; angles 90.00, 90.00, 90.00 degrees
Site moments in Bohr magnetons follow the coordinates.
Element x y z (fractional)
Ir 0.500 0.625 0.802  0.28
Cu 0.000 0.625 0.446  0.03
Ni 0.000 0.125 0.953  0.35
Ni 0.500 0.125 0.298  0.30

Compound: Li3Ca2NpS6
Source: Alexandria via LeMat-Bulk
Functional: PBE
Structure: optimized geometry

Volume, Å³/atom: 20.8
Uncorrected energy, eV/atom: -5.496
Formation energy (no corrections), eV per atom: -1.542

Cell lengths 6.866, 6.866, 6.521 Å; angles 99.63, 99.63, 120.50 degrees
Site moments in Bohr magnetons follow the coordinates.
Element x y z (fractional)
S 0.919 0.610 0.748  -0.07
S 0.081 0.390 0.252  -0.07
S 0.764 0.764 0.244  -0.06
S 0.610 0.919 0.748  -0.07
S 0.236 0.236 0.756  -0.06
S 0.390 0.081 0.252  -0.07
Li 0.500 0.500 0.500  0.00
Li 0.148 0.852 0.500  0.00
Li 0.852 0.148 0.500  0.00
Ca 0.331 0.669 0.000  0.00
Ca 0.669 0.331 0.000  0.00
Np 0.000 0.000 0.000  2.55

Compound: SrPIrPd2
Source: Alexandria via LeMat-Bulk
Functional: PBE
Structure: optimized geometry

Volume, Å³/atom: 19.8
Uncorrected energy, eV/atom: -5.756
Formation energy from the elements, kJ per mole of atoms: -47.07

Cell lengths 4.690, 4.690, 4.492 Å; angles 90.00, 90.00, 90.00 degrees
Element x y z (fractional)
Pd 0.000 0.500 0.000
Pd 0.500 0.000 0.000
Sr 0.500 0.500 0.500
P 0.000 0.000 0.000
Ir 0.000 0.000 0.500

Compound: PmReRuO6
Source: Alexandria via LeMat-Bulk
Functional: PBE
Structure: optimized geometry

Volume, Å³/atom: 12.1
Uncorrected energy, eV/atom: -7.976
Formation energy (no corrections), eV per atom: -1.729

Cell lengths 5.471, 5.471, 8.416 Å; angles 90.00, 90.00, 120.00 degrees
Element x y z (fractional)
Re 0.333 0.667 0.750
Re 0.667 0.333 0.250
O 0.640 0.939 0.880
O 0.061 0.360 0.620
O 0.360 0.061 0.120
O 0.939 0.299 0.120
O 0.299 0.939 0.620
O 0.061 0.701 0.880
O 0.701 0.061 0.380
O 0.939 0.640 0.380
O 0.701 0.640 0.120
O 0.640 0.701 0.620
O 0.360 0.299 0.380
O 0.299 0.360 0.880
Ru 0.000 0.000 0.000
Ru 0.000 0.000 0.500
Pm 0.667 0.333 0.750
Pm 0.333 0.667 0.250

Compound: SnH
Source: Alexandria via LeMat-Bulk
Functional: PBE
Structure: optimized geometry

Volume, Å³/atom: 17.2
Energy above the lowest structure with this stoichiometry, meV/atom: 343
Uncorrected energy, eV/atom: -3.265

Cell lengths 7.645, 7.645, 4.088 Å; angles 90.00, 90.00, 120.00 degrees
Element x y z (fractional)
Sn 0.106 0.713 0.750
Sn 0.287 0.393 0.750
Sn 0.393 0.106 0.250
Sn 0.713 0.607 0.250
Sn 0.607 0.894 0.750
Sn 0.894 0.287 0.250
H 0.092 0.593 0.250
H 0.501 0.908 0.250
H 0.593 0.501 0.750
H 0.908 0.407 0.750
H 0.407 0.499 0.250
H 0.499 0.092 0.750